Below is a relaxed HoPuN2 crystal, with properties calculated at the PBE-GGA level.

```
HoPuN2
1.0
-2.241 2.431 0.756
-3.185 -0.826 0.824
-0.234 0.199 6.276
N Pu Ho
2 1 1
direct
0.250 0.250 0.250
0.079 0.079 0.762
0.500 0.500 0.500
0.671 0.671 0.987
```

Results
**Formation energy from raw total energies**: -1.273 eV/atom
**Mass density**: 12197 kg/m³
**Density of states at the Fermi level**: 5.4 states/eV/f.u.


Below is a relaxed Ho4PuN4 crystal, with properties calculated at the PBE-GGA level.

```
Ho4PuN4
1.0
-3.632 -1.393 -4.037
3.903 -3.233 -2.395
-1.817 -1.918 6.189
Ho Pu N
4 1 4
direct
0.279 0.279 0.559
0.000 0.500 0.000
0.721 0.721 0.441
0.500 0.000 0.000
0.000 0.000 0.000
0.883 0.364 0.248
0.636 0.636 0.752
0.364 0.883 0.248
0.117 0.117 0.752
```

Results
**Energy relative to the lowest polymorph listed for this composition**: 5.30 eV per formula unit
**Formation energy from raw total energies**: -0.808 eV/atom
**Mass density**: 9326 kg/m³
**Density of states at the Fermi level**: 14.8 states/eV/f.u.


Below is a relaxed Ho2Pu3N4 crystal, with properties calculated at the PBE-GGA level.

```
Ho2Pu3N4
1.0
3.392 0.000 0.834
1.514 5.787 1.159
-0.099 0.464 7.717
N Pu Ho
4 3 2
direct
0.799 0.098 0.305
0.604 0.700 0.093
0.201 0.902 0.695
0.396 0.300 0.907
0.799 0.598 0.804
0.000 0.000 0.000
0.201 0.402 0.196
0.393 0.824 0.390
0.607 0.176 0.610
```

Results
**Formation energy from raw total energies**: -1.214 eV/atom
**Mass density**: 12316 kg/m³
**Density of states at the Fermi level**: 17.6 states/eV/f.u.


Below is a relaxed HoPuN crystal, with properties calculated at the PBE-GGA level.

```
HoPuN
1.0
4.250 0.000 0.000
2.125 3.681 0.000
2.125 1.227 3.470
N Ho Pu
1 1 1
direct
0.250 0.250 0.250
0.500 0.500 0.500
0.000 0.000 0.000
```

Results
**Energy relative to the lowest polymorph listed for this composition**: 1.97 eV per formula unit
**Formation energy from raw total energies**: -0.191 eV/atom
**Mass density**: 12937 kg/m³
**Density of states at the Fermi level**: 6.3 states/eV/f.u.